{"formula": "TbSm2Ir", "functional": "PBE", "state": "relaxed", "lattice": [[1.8965, 1.0950, 10.6454], [-1.8965, 1.0950, 10.6454], [0.0000, -2.1899, 10.6454]], "species": ["Tb", "Sm", "Sm", "Ir"], "fractional_positions": [[0.0000, 0.0000, 0.0000], [0.1125, 0.1125, 0.1125], [0.8875, 0.8875, 0.8875], [0.5000, 0.5000, 0.5000]], "polymorph_energy_mev_per_atom": 446, "density_g_cm3": 8.2, "ef_ev_per_atom": -0.066}